1.
Density functional theory data (PBE-GGA) for a relaxed AuI2Br crystal.

Computed properties:
space group: Fm-3m, No. 225
polymorph energy (0 for the lowest one): 568 meV per atom
DFT total energy: -0.10801 Ry/atom
crystal system: cubic
M_tot: 0.000 μB per cell
N(E_F): 6.42 states/eV per cell
raw formation energy: 0.543 eV per atom

```
AuI2Br
1.0
0.000 3.820 3.820
3.820 0.000 3.820
3.820 3.820 0.000
Au I Br
1 2 1
direct
0.500 0.500 0.500
0.250 0.250 0.250
0.750 0.750 0.750
0.000 0.000 0.000
```

2.
Density functional theory data (PBE-GGA) for a relaxed LiRe2Pt crystal.

Computed properties:
energy of formation from the pure elements: 28 meV per atom
space group: Cm, No. 8
polymorph energy (0 for the lowest one): 78 meV per atom
DFT total energy: -0.60153 Ry/atom
crystal system: monoclinic
M_tot: 0.000 μB per cell
N(E_F): 2.95 states/eV per cell

```
LiRe2Pt
1.0
4.659 0.004 -0.005
3.910 2.533 -0.005
0.462 0.137 4.958
Pt Li Re
1 1 2
direct
0.743 0.743 0.719
0.495 0.495 0.520
0.010 0.010 0.023
0.253 0.253 0.239
```

3.
Density functional theory data (PBE-GGA) for a relaxed Tl4SnHg2Sb2 crystal.

Computed properties:
space group: C2/m, No. 12
DFT total energy: -0.17785 Ry/atom
crystal system: monoclinic
M_tot: 0.000 μB per cell
N(E_F): 4.08 states/eV per cell
raw formation energy: 0.060 eV per atom

```
Tl4SnHg2Sb2
1.0
5.606 -0.627 -0.427
0.452 7.066 -0.797
0.452 1.853 6.865
Sb Sn Tl Hg
2 1 4 2
direct
0.965 0.859 0.859
0.035 0.141 0.141
0.500 0.000 0.000
0.714 0.437 0.852
0.714 0.852 0.437
0.286 0.563 0.148
0.286 0.148 0.563
0.227 0.602 0.602
0.773 0.398 0.398
```